The following is a PBE+U calculation of a relaxed structure of ErWO4F, from the Alexandria database.

**DFT total energy**: -7.57 eV per atom

POSCAR file:
```
ErWO4F
1.0
4.7701 -3.6796 0.0000
4.7701 3.6796 0.0000
-2.3264 0.0000 6.7075
Er W O F
2 2 8 2
direct
0.2015 0.2015 0.1156
0.7985 0.7985 0.8844
0.3479 0.3479 0.7210
0.6521 0.6521 0.2790
0.0977 0.4858 0.8396
0.2598 0.2598 0.4551
0.4534 0.4534 0.2173
0.4858 0.0977 0.8396
0.5142 0.9023 0.1604
0.5466 0.5466 0.7827
0.7402 0.7402 0.5449
0.9023 0.5142 0.1604
0.0172 0.0172 0.8339
0.9828 0.9828 0.1661
```